No. 1
This record from Alexandria describes crystalline Nd2Y4Er7 at its relaxed geometry. The functional is PBE.

E_form, eV per atom: 0.1802
Density of states at the Fermi level, states/eV/cell: 17.68
M_tot, Bohr magnetons per cell: 0.00

abc: 6.0567 6.0567 13.3409
angles: 90.00 90.00 120.00
Element x y z (fractional)
Nd 0.3333 0.6667 0.0000
Nd 0.6667 0.3333 0.0000
Y 0.0000 0.0000 0.3948
Y 0.0000 0.0000 0.6052
Y 0.3333 0.6667 0.5000
Y 0.6667 0.3333 0.5000
Er 0.0000 0.0000 0.0000
Er 0.0000 0.3519 0.2152
Er 0.0000 0.6481 0.7848
Er 0.3519 0.0000 0.2152
Er 0.3519 0.3519 0.7848
Er 0.6481 0.0000 0.7848
Er 0.6481 0.6481 0.2152



No. 2
This record from Alexandria describes crystalline SrSm5S6 at its relaxed geometry. The functional is PBE.

Calculated total energy, eV per atom: -6.192
Density of states at the Fermi level, states/eV/cell: 4.98
M_tot, Bohr magnetons per cell: 0.00

abc: 7.0013 7.0013 7.0158
angles: 99.55 99.55 120.12
Element x y z (fractional)
Sr 0.0000 0.0000 0.0000
Sm 0.1643 0.8357 0.5000
Sm 0.3328 0.6672 0.0000
Sm 0.5000 0.5000 0.5000
Sm 0.6672 0.3328 0.0000
Sm 0.8357 0.1643 0.5000
S 0.0852 0.4233 0.2552
S 0.2548 0.2548 0.7495
S 0.4233 0.0852 0.2552
S 0.5767 0.9148 0.7448
S 0.7452 0.7452 0.2505
S 0.9148 0.5767 0.7448